VASP calculation (GGA-PBE) on crystalline Cu2BiPd6 at its relaxed geometry.

Cell: 4.9129 4.9129 8.2938 Å, 109.86 109.86 49.73°
Element x y z (fractional)
Cu: 0.1533 0.1533 0.0538
Cu: 0.8467 0.8467 0.9462
Bi: 0.5000 0.5000 0.5000
Pd: 0.1553 0.1553 0.3768
Pd: 0.1959 0.1959 0.7530
Pd: 0.4722 0.4722 0.1483
Pd: 0.5278 0.5278 0.8517
Pd: 0.8041 0.8041 0.2470
Pd: 0.8447 0.8447 0.6232

VASP energy ... -4.96 eV per atom
Distance to the lowest polymorph of the same formula ... 0.000 eV per atom
Total moment ... 0.000 μB per atom
Energy of formation from the pure elements ... -0.16 eV per atom
Symmetry ... C2/m